Entry from the Alexandria database: Na2Sr4Li after structural relaxation (PBE).

a = 4.0744 Å, b = 9.6078 Å, c = 9.5691 Å
α = 115.61°, β = 102.29°, γ = 90.00°
Last column: nearest neighbours and their distance in Å.
Sites, in units of the cell vectors:
Sr (0.6348, 0.3823, 0.2695)  3 Na 3.88-4.14, 2 Li 3.97, 6 Sr 4.07-4.28
Sr (0.3652, 0.6177, 0.7305)  3 Na 3.88-4.14, 2 Li 3.97, 6 Sr 4.07-4.28
Sr (0.0825, 0.7186, 0.1649)  1 Li 3.66, 3 Na 3.75-3.91, 3 Sr 3.96-4.07
Sr (0.9175, 0.2814, 0.8351)  1 Li 3.66, 3 Na 3.75-3.91, 3 Sr 3.96-4.07
Na (0.2193, 0.1446, 0.4386)  1 Li 3.70, 6 Sr 3.75-4.14, 4 Na 4.00-4.07
Na (0.7807, 0.8554, 0.5614)  1 Li 3.70, 6 Sr 3.75-4.14, 4 Na 4.00-4.07
Li (0.0000, 0.0000, 0.0000)  6 Sr 3.66-3.97, 2 Na 3.70, 2 Li 4.07

Output
Total magnetic moment, μB/f.u.: 0.00
Relative energy among the computed polymorphs, eV/f.u.: 0.000
Energy of formation, meV per atom: 92
Crystal system: monoclinic